## YScRu2 (SCAN)

Data for YScRu2 at its PBEsol-relaxed geometry.

```
4
Lattice="-1.683 0.114 -2.800 -0.221 -4.595 -0.054 -3.938 0.162 2.373" Properties=species:S:1:pos:R:3 pbc="T T T"
Y -0.841 0.057 -1.400
Ru -1.969 0.081 1.186
Ru -0.110 -2.297 -0.027
Sc -2.921 -2.160 -0.241
```

Properties
The formation energy comes out at -0.455 eV per atom.

## YSc2Ru (SCAN)

Data for YSc2Ru at its PBEsol-relaxed geometry.

```
4
Lattice="3.250 0.000 0.000 1.625 2.815 0.000 1.625 0.938 9.523" Properties=species:S:1:pos:R:3 pbc="T T T"
Ru 0.000 0.000 0.000
Sc 1.625 0.938 1.854
Sc 4.875 2.815 7.669
Y 3.250 1.876 4.762
```

Properties
The formation energy comes out at -0.089 eV per atom. As for the distance to the lowest polymorph of the same formula: 0.290 eV/atom.

## YSc2Ru (SCAN)

Data for YSc2Ru at its PBEsol-relaxed geometry.

```
4
Lattice="-2.884 3.711 1.188 -4.780 -0.309 -0.749 -3.024 -0.390 3.769" Properties=species:S:1:pos:R:3 pbc="T T T"
Ru -2.672 0.753 1.052
Sc 0.000 0.000 0.000
Sc -8.016 2.259 3.156
Y -5.344 1.506 2.104
```

Properties
The formation energy comes out at -0.121 eV per atom. As for the distance to the lowest polymorph of the same formula: 0.258 eV/atom.

## Y2ScRu2 (SCAN)

Data for Y2ScRu2 at its PBEsol-relaxed geometry.

```
10
Lattice="-3.094 -2.945 0.090 4.821 -5.060 0.113 0.029 0.184 6.987" Properties=species:S:1:pos:R:3 pbc="T T T"
Y -0.681 -2.237 4.785
Y 1.734 -4.740 5.882
Y 2.437 -5.585 2.405
Y 0.022 -3.082 1.308
Ru 1.831 -1.734 6.152
Ru 4.234 -4.310 4.469
Ru 3.019 -3.142 0.948
Ru 0.616 -0.566 2.631
Sc 0.000 0.000 0.000
Sc 2.425 -2.438 3.550
```

Properties
The formation energy comes out at -0.374 eV per atom.